Entry 1:
A plane-wave DFT calculation with PBE was carried out for a geometry-optimized BPdSeBr2 structure.

Properties
Raw formation energy   0.981 eV/atom
Calculated volume   26.29 Å³ per atom
N(E_F)   4.380 states/eV per cell
VASP energy   -2.760 eV per atom
Mass density   4.5 Mg/m³

Lattice parameters (Å, degrees): 5.1821 5.1821 4.8957 90.00 90.00 90.00
Space group P4/mmm (No. 123)
Asymmetric unit:
1 B 0.0000 0.0000 0.0000
2 Pd 0.5000 0.5000 0.5000
3 Se 0.5000 0.5000 0.0000
4 Br 0.0000 0.5000 0.5000

=====

Entry 2:
A plane-wave DFT calculation with PBE was carried out for a geometry-optimized BPdSe2Br structure.

Properties
Raw formation energy   1.140 eV/atom
Calculated volume   25.35 Å³ per atom
N(E_F)   6.562 states/eV per cell
VASP energy   -2.963 eV per atom
Mass density   4.7 Mg/m³

Lattice parameters (Å, degrees): 4.9276 4.9276 5.2196 90.00 90.00 90.00
Space group P4/mmm (No. 123)
Asymmetric unit:
1 B 0.0000 0.0000 0.0000
2 Pd 0.5000 0.5000 0.5000
3 Se 0.0000 0.5000 0.5000
4 Br 0.5000 0.5000 0.0000

=====

Entry 3:
A plane-wave DFT calculation with PBE was carried out for a geometry-optimized BPdSeBr2 structure.

Properties
Raw formation energy   0.818 eV/atom
Calculated volume   19.62 Å³ per atom
N(E_F)   5.156 states/eV per cell
VASP energy   -2.922 eV per atom
Mass density   6.0 Mg/m³

Lattice parameters (Å, degrees): 4.6188 4.6188 4.5981 90.00 90.00 90.00
Space group P4/mmm (No. 123)
Asymmetric unit:
1 B 0.0000 0.0000 0.0000
2 Pd 0.5000 0.5000 0.5000
3 Se 0.0000 0.0000 0.5000
4 Br 0.0000 0.5000 0.0000

=====

Entry 4:
A plane-wave DFT calculation with PBE was carried out for a geometry-optimized BPdSe2Br structure.

Properties
Raw formation energy   0.829 eV/atom
Calculated volume   18.56 Å³ per atom
N(E_F)   6.019 states/eV per cell
VASP energy   -3.273 eV per atom
Mass density   6.4 Mg/m³

Lattice parameters (Å, degrees): 4.4805 4.4805 4.6231 90.00 90.00 90.00
Space group P4/mmm (No. 123)
Asymmetric unit:
1 B 0.0000 0.0000 0.0000
2 Pd 0.5000 0.5000 0.5000
3 Se 0.0000 0.5000 0.0000
4 Br 0.0000 0.0000 0.5000

=====

Entry 5:
A plane-wave DFT calculation with PBE was carried out for a geometry-optimized BPdSeBr2 structure.

Properties
Raw formation energy   1.076 eV/atom
Calculated volume   24.66 Å³ per atom
N(E_F)   5.418 states/eV per cell
VASP energy   -2.664 eV per atom
Mass density   4.8 Mg/m³

Lattice parameters (Å, degrees): 5.5239 5.5239 4.0406 90.00 90.00 90.00
Space group P4/mmm (No. 123)
Asymmetric unit:
1 B 0.0000 0.0000 0.0000
2 Pd 0.5000 0.5000 0.0000
3 Se 0.0000 0.0000 0.5000
4 Br 0.0000 0.5000 0.5000

=====

Entry 6:
A plane-wave DFT calculation with PBE was carried out for a geometry-optimized ZnBPd2Br structure.

Properties
Raw formation energy   0.308 eV/atom
Calculated volume   18.99 Å³ per atom
N(E_F)   0.892 states/eV per cell
VASP energy   -3.694 eV per atom
Mass density   6.5 Mg/m³

Lattice parameters (Å, degrees): 4.0545 4.0545 5.7765 90.00 90.00 90.00
Space group P4/mmm (No. 123)
Asymmetric unit:
1 Zn 0.0000 0.0000 0.0000
2 B 0.5000 0.5000 0.5000
3 Pd 0.0000 0.5000 0.5000
4 Br 0.5000 0.5000 0.0000

=====

Entry 7:
A plane-wave DFT calculation with PBE was carried out for a geometry-optimized Pm4BBr6 structure.

Properties
Raw formation energy   -1.314 eV/atom
Calculated volume   29.60 Å³ per atom
N(E_F)   9.567 states/eV per cell
VASP energy   -4.561 eV per atom
Mass density   5.5 Mg/m³

Lattice parameters (Å, degrees): 9.5722 9.5722 7.1063 90.00 90.00 90.00
Space group P4_2/nmc (No. 137, origin choice 2)
Asymmetric unit:
1 Pm 0.0188 0.7500 0.1011
2 B 0.2500 0.7500 0.2500
3 Br 0.0465 0.5465 0.7500
4 Br 0.2500 0.2500 0.1452

=====

Entry 8:
A plane-wave DFT calculation with PBE was carried out for a geometry-optimized PmBBr structure.

Properties
Raw formation energy   -0.982 eV/atom
Calculated volume   23.99 Å³ per atom
N(E_F)   6.849 states/eV per cell
VASP energy   -5.349 eV per atom
Mass density   5.4 Mg/m³

Lattice parameters (Å, degrees): 7.3150 3.3704 11.8603 90.00 100.06 90.00
Space group C2/m (No. 12)
Asymmetric unit:
1 Pm 0.0487 0.0000 0.1549
2 B 0.2214 0.5000 0.0005
3 Br 0.2101 0.0000 0.6752

=====

Entry 9:
A plane-wave DFT calculation with PBE was carried out for a geometry-optimized Pm4BBr5 structure.

Properties
Raw formation energy   -1.416 eV/atom
Calculated volume   30.51 Å³ per atom
N(E_F)   9.512 states/eV per cell
VASP energy   -4.820 eV per atom
Mass density   5.4 Mg/m³

Lattice parameters (Å, degrees): 18.4335 4.0375 8.4233 90.00 103.29 90.00
Space group C2/m (No. 12)
Asymmetric unit:
1 Pm 0.0007 0.0000 0.2875
2 Pm 0.1442 0.5000 0.5776
3 B 0.0000 0.5000 0.5000
4 Br 0.0000 0.5000 0.0000
5 Br 0.1654 0.0000 0.8390
6 Br 0.1709 0.0000 0.3340

=====

Entry 10:
A plane-wave DFT calculation with PBE was carried out for a geometry-optimized Pm2BBr structure.

Properties
Raw formation energy   -0.735 eV/atom
Calculated volume   25.02 Å³ per atom
N(E_F)   11.921 states/eV per cell
VASP energy   -5.198 eV per atom
Mass density   6.3 Mg/m³

Lattice parameters (Å, degrees): 3.9905 3.9905 21.7683 90.00 90.00 120.00
Space group R-3m (No. 166, hexagonal axes)
Asymmetric unit:
1 Pm 0.0000 0.0000 0.2310
2 B 0.0000 0.0000 0.5000
3 Br 0.0000 0.0000 0.0000

=====

Entry 11:
A plane-wave DFT calculation with PBE was carried out for a geometry-optimized Pm6BBr12 structure.

Properties
Raw formation energy   -1.419 eV/atom
Calculated volume   30.02 Å³ per atom
N(E_F)   13.283 states/eV per cell
VASP energy   -4.327 eV per atom
Mass density   5.4 Mg/m³

Lattice parameters (Å, degrees): 10.3586 10.3586 18.4114 90.00 90.00 120.00
Space group R-3m (No. 166, hexagonal axes)
Asymmetric unit:
1 Pm 0.0629 0.5314 0.2477
2 B 0.0000 0.0000 0.5000
3 Br 0.0358 0.5179 0.9038
4 Br 0.0811 0.5406 0.5944

=====

Entry 12:
A plane-wave DFT calculation with PBE was carried out for a geometry-optimized PmBBr structure.

Properties
Raw formation energy   -0.306 eV/atom
Calculated volume   26.31 Å³ per atom
N(E_F)   3.761 states/eV per cell
VASP energy   -4.673 eV per atom
Mass density   5.0 Mg/m³

Lattice parameters (Å, degrees): 4.2853 4.4751 16.4641 90.00 90.00 90.00
Space group Immm (No. 71)
Asymmetric unit:
1 Pm 0.0000 0.0000 0.1198
2 B 0.1765 0.5000 0.5000
3 Br 0.0000 0.0000 0.3198